NaTbGaAu after structural relaxation. Source: the Alexandria database, functional PBE.

**Space-group type**: No. 216
**Fermi-level density of states**: 2.23 states/eV per cell
**Theoretical density**: 8.4 g/cm3
**ΔH_f (0 K)**: -9.77 kcal/mol of atoms

Cell lengths 4.9967, 4.9967, 4.9967 Å; angles 60.00, 60.00, 60.00 degrees
With the nearest neighbours (Å) after each atom.
Fractional coordinates of all 4 atoms:
1 Au 0.7500 0.7500 0.7500  4 Tb 3.06, 4 Na 3.06
2 Ga 0.2500 0.2500 0.2500  4 Tb 3.06, 4 Na 3.06
3 Na 0.0000 0.0000 0.0000  4 Ga 3.06, 4 Au 3.06
4 Tb 0.5000 0.5000 0.5000  4 Ga 3.06, 4 Au 3.06